1.
A relaxed structure of PbBrF3. Source: Alexandria, functional PBE.

The structure in POSCAR format:
```
PbBrF3
1.0
6.361 0.000 0.000
0.000 6.556 0.000
0.000 0.000 5.346
Pb Br F
2 2 6
Direct
0.000 0.036 0.000
0.500 0.964 0.500
0.000 0.382 0.799
0.500 0.618 0.299
0.000 0.777 0.203
0.234 0.881 0.757
0.266 0.119 0.257
0.500 0.223 0.703
0.734 0.119 0.257
0.766 0.881 0.757
```

Results
Uncorrected energy (eV per cell): -37.540
ΔE_f (raw) (eV per atom): -1.555
Offset from the most stable computed form (eV/atom): 0.000
Total magnetization (μB/atom): 0.00
Calculated density (g/cm3): 5.13


2.
A relaxed structure of NaTb2I8. Source: Alexandria, functional PBE.

The structure in POSCAR format:
```
NaTb2I8
1.0
9.764 -4.843 0.000
9.764 4.843 0.000
-0.447 0.000 6.123
Na Tb I
1 2 8
Direct
0.000 0.000 0.000
0.176 0.176 0.742
0.824 0.824 0.258
0.152 0.683 0.254
0.182 0.182 0.248
0.317 0.848 0.746
0.326 0.326 0.771
0.674 0.674 0.229
0.683 0.152 0.254
0.818 0.818 0.752
0.848 0.317 0.746
```

Results
Uncorrected energy (eV per cell): -34.606
ΔE_f (raw) (eV per atom): -1.057
Total magnetization (μB/atom): 0.00
Calculated density (g/cm3): 3.89


3.
A relaxed structure of MgSiAs2. Source: Alexandria, functional PBE.

The structure in POSCAR format:
```
MgSiAs2
1.0
0.000 3.342 3.342
3.342 0.000 3.342
3.342 3.342 0.000
Mg Si As
1 1 2
Direct
0.000 0.000 0.000
0.500 0.500 0.500
0.250 0.250 0.250
0.750 0.750 0.750
```

Results
Uncorrected energy (eV per cell): -15.537
ΔE_f (raw) (eV per atom): 0.195
Offset from the most stable computed form (eV/atom): 0.511
Total magnetization (μB/atom): 0.00
Calculated density (g/cm3): 4.50


4.
A relaxed structure of ZrTcSnPd2. Source: Alexandria, functional PBE.

The structure in POSCAR format:
```
ZrTcSnPd2
1.0
4.977 0.000 0.000
0.000 4.977 0.000
0.000 0.000 4.774
Zr Tc Sn Pd
1 1 1 2
Direct
0.000 0.000 0.000
0.000 0.000 0.500
0.500 0.500 0.500
0.000 0.500 0.000
0.500 0.000 0.000
```

Results
Uncorrected energy (eV per cell): -28.911
Total magnetization (μB/atom): 0.20
Formation enthalpy at 0 K (meV/atom): 878
Calculated density (g/cm3): 7.31